Density functional theory data (PBE-GGA) for crystalline KInNi3 at its relaxed geometry.

abc: 4.874 4.874 4.874
angles: 90.00 90.00 90.00
Atoms (fractional coordinates):
Ni: 0.000 0.500 0.000
Ni: 0.000 0.000 0.500
Ni: 0.500 0.000 0.000
K: 0.500 0.500 0.500
In: 0.000 0.000 0.000

Summary:
raw total energy: -16.70 eV for the cell shown
E above lowest polymorph: 0.0 kJ/mol of atoms
space-group type: No. 221
N(E_F): 4.26 states/eV/cell
energy relative to the elements: 0.8953 eV per atom
crystal system: cubic